Material: BaZnFeF2
Method: DFT, PBE+U
State: relaxed

V = 187 Å³ per cell
space-group type = P4/mmm, No. 123
energy above the most stable polymorph in this dataset = 0.000 eV/atom

abc: 4.9182 4.9182 7.7362
angles: 90.00 90.00 90.00
Element x y z (fractional)
Ba (0.0000, 0.0000, 0.0000)
Zn (0.5000, 0.5000, 0.5000)
Fe (0.0000, 0.0000, 0.5000)
F (0.0000, 0.5000, 0.0000)
F (0.5000, 0.0000, 0.0000)